No. 1
## NaErFeS3 (PBE)

Data for an optimized crystal structure of NaErFeS3. Values from VASP.

Structure (Quantum ESPRESSO input):
```
&SYSTEM
  ibrav = 0, nat = 12, ntyp = 4
/
ATOMIC_SPECIES
Er 167.26 Er.upf
Fe 55.84 Fe.upf
Na 22.99 Na.upf
S 32.06 S.upf
CELL_PARAMETERS angstrom
1.3205 1.0835 6.4969
-3.5448 1.8954 -5.3823
-7.5330 -6.6098 2.6335
ATOMIC_POSITIONS crystal
Er 0.0000 0.0000 0.0000
Er 0.0000 0.0000 0.5000
Fe 0.5270 0.4730 0.2500
Fe 0.4730 0.5270 0.7500
Na 0.2461 0.7539 0.2500
Na 0.7539 0.2461 0.7500
S 0.6326 0.3674 0.0740
S 0.9235 0.0765 0.2500
S 0.6326 0.3674 0.4260
S 0.3674 0.6326 0.5740
S 0.0765 0.9235 0.7500
S 0.3674 0.6326 0.9260
```



No. 2
## BaLi3Nd2Pb3 (PBE)

Data for an optimized crystal structure of BaLi3Nd2Pb3. Values from VASP.

Structure (Quantum ESPRESSO input):
```
&SYSTEM
  ibrav = 0, nat = 9, ntyp = 4
/
ATOMIC_SPECIES
Ba 137.33 Ba.upf
Li 6.94 Li.upf
Nd 144.24 Nd.upf
Pb 207.20 Pb.upf
CELL_PARAMETERS angstrom
-4.3075 0.8718 -2.2404
2.1446 -4.4231 -0.4136
-5.9158 -3.7939 9.8979
ATOMIC_POSITIONS crystal
Ba 0.0000 0.0000 0.0000
Li 0.6667 0.3333 0.2131
Li 0.3333 0.6667 0.5000
Li 0.6667 0.3333 0.7869
Nd 0.0000 0.0000 0.3424
Nd 0.0000 0.0000 0.6576
Pb 0.3333 0.6667 0.2058
Pb 0.6667 0.3333 0.5000
Pb 0.3333 0.6667 0.7942
```



No. 3
## CsAgPtSe3 (PBE)

Data for an optimized crystal structure of CsAgPtSe3. Values from VASP.

Structure (Quantum ESPRESSO input):
```
&SYSTEM
  ibrav = 0, nat = 24, ntyp = 4
/
ATOMIC_SPECIES
Ag 107.87 Ag.upf
Cs 132.91 Cs.upf
Pt 195.08 Pt.upf
Se 78.96 Se.upf
CELL_PARAMETERS angstrom
15.5492 0.0000 0.0000
0.0000 4.0166 0.0000
0.0000 0.0000 10.8245
ATOMIC_POSITIONS crystal
Ag 0.0153 0.2500 0.0830
Ag 0.5153 0.2500 0.4170
Ag 0.4847 0.7500 0.5830
Ag 0.9847 0.7500 0.9170
Cs 0.2220 0.7500 0.0483
Cs 0.7220 0.7500 0.4517
Cs 0.2780 0.2500 0.5483
Cs 0.7780 0.2500 0.9517
Pt 0.5078 0.7500 0.1460
Pt 0.0078 0.7500 0.3540
Pt 0.9922 0.2500 0.6460
Pt 0.4922 0.2500 0.8540
Se 0.4230 0.2500 0.0637
Se 0.9113 0.7500 0.1595
Se 0.6044 0.2500 0.2079
Se 0.1044 0.2500 0.2921
Se 0.4113 0.7500 0.3405
Se 0.9230 0.2500 0.4363
Se 0.0770 0.7500 0.5637
Se 0.5887 0.2500 0.6595
Se 0.8956 0.7500 0.7079
Se 0.3956 0.7500 0.7921
Se 0.0887 0.2500 0.8405
Se 0.5770 0.7500 0.9363
```



No. 4
## Y4NiPC2 (PBE)

Data for an optimized crystal structure of Y4NiPC2. Values from VASP.

Structure (Quantum ESPRESSO input):
```
&SYSTEM
  ibrav = 0, nat = 8, ntyp = 4
/
ATOMIC_SPECIES
C 12.01 C.upf
Ni 58.69 Ni.upf
P 30.97 P.upf
Y 88.91 Y.upf
CELL_PARAMETERS angstrom
3.6630 0.0000 0.0000
-1.8315 3.1722 0.0000
0.0000 0.0000 13.4142
ATOMIC_POSITIONS crystal
C 0.0000 0.0000 0.2483
C 0.0000 0.0000 0.7517
Ni 0.3333 0.6667 0.0000
P 0.6667 0.3333 0.5000
Y 0.6667 0.3333 0.1489
Y 0.3333 0.6667 0.3536
Y 0.3333 0.6667 0.6464
Y 0.6667 0.3333 0.8511
```



| no. | raw total energy (eV per atom) |
| --- | --- |
| 1 | -5.68 |
| 2 | -3.66 |
| 3 | -3.84 |
| 4 | -7.35 |